The following is a PBE calculation of PIrAu2 after structural relaxation, from Alexandria.

abc: 6.596 6.596 6.596
angles: 153.74 147.22 42.47
Positions (direct):
P 0.000 0.000 0.000
Ir 0.500 0.500 0.000
Au 0.185 0.685 0.500
Au 0.815 0.315 0.500

Values from the calculation:
Its crystal system is orthorhombic. As for the space group: Immm (71). As for the calculated total energy: -5.029 eV per atom. The calculation puts the magnetization at 0.00 μB per cell.